Here is crystalline RbRe2NiO8 at its relaxed geometry from the Alexandria database. Energies are from PBE+U.

Lattice parameters (Å, degrees): 9.218 5.831 8.241 90.00 94.94 90.00
Space group C2/m (No. 12)
Inequivalent atoms, fractional coordinates:
Rb 0.000 0.000 0.000 x2
Re 0.129 0.500 0.296 x4
Ni 0.000 0.000 0.500 x2
O 0.021 0.250 0.321 x8
O 0.190 0.500 0.099 x4
O 0.219 0.000 0.558 x4

Output
Calculated volume (Å³ per atom): 18.39
ρ (g/cm3): 4.85
Uncorrected energy (eV per formula unit): -87.05

Here is crystalline Rb2NiRhO4 at its relaxed geometry from the Alexandria database. Energies are from PBE+U.

Lattice parameters (Å, degrees): 5.585 13.549 19.386 90.00 90.00 90.00
Space group Fddd (No. 70, origin choice 2)
Inequivalent atoms, fractional coordinates:
Rb 0.125 0.125 0.298 x16
Ni 0.125 0.125 0.125 x8
Rh 0.125 0.125 0.625 x8
O 0.123 0.277 0.861 x32

Output
Calculated volume (Å³ per atom): 22.92
ρ (g/cm3): 3.59
Uncorrected energy (eV per formula unit): -38.61

Here is crystalline Rb2NiRuO6 at its relaxed geometry from the Alexandria database. Energies are from PBE+U.

Lattice parameters (Å, degrees): 6.1527 6.1527 5.0033 90.00 90.00 120.00
Space group P-3m1 (No. 164)
Inequivalent atoms, fractional coordinates:
Rb 0.3333 0.6667 0.2133 x2
Ni 0.0000 0.0000 0.0000 x1
Ru 0.0000 0.0000 0.5000 x1
O 0.1374 0.2747 0.7551 x6

Output
Calculated volume (Å³ per atom): 16.40
ρ (g/cm3): 4.32
Uncorrected energy (eV per formula unit): -52.82

Here is crystalline Rb2NiRuO4 at its relaxed geometry from the Alexandria database. Energies are from PBE+U.

Lattice parameters (Å, degrees): 6.197 6.197 7.176 90.00 90.00 90.00
Space group I-4 (No. 82)
Inequivalent atoms, fractional coordinates:
Rb 0.000 0.000 0.000 x2
Rb 0.000 0.500 0.250 x2
Ni 0.000 0.000 0.500 x2
Ru 0.000 0.500 0.750 x2
O 0.121 0.254 0.639 x8

Output
Calculated volume (Å³ per atom): 17.23
ρ (g/cm3): 4.76
Uncorrected energy (eV per formula unit): -41.38

Here is crystalline RbNiS2O8 at its relaxed geometry from the Alexandria database. Energies are from PBE+U.

Lattice parameters (Å, degrees): 4.9455 4.9455 8.4196 90.00 90.00 120.00
Space group P-3 (No. 147)
Inequivalent atoms, fractional coordinates:
Rb 0.0000 0.0000 0.0000 x1
Ni 0.0000 0.0000 0.5000 x1
S 0.3333 0.6667 0.7035 x2
O 0.0733 0.3604 0.6481 x6
O 0.3333 0.6667 0.8793 x2

Output
Calculated volume (Å³ per atom): 14.86
ρ (g/cm3): 3.13
Uncorrected energy (eV per formula unit): -68.02

Here is crystalline RbNiS2O6 at its relaxed geometry from the Alexandria database. Energies are from PBE+U.

Lattice parameters (Å, degrees): 5.1378 5.1378 20.5754 90.00 90.00 120.00
Space group R-3 (No. 148, hexagonal axes)
Inequivalent atoms, fractional coordinates:
Rb 0.0000 0.0000 0.0000 x3
Ni 0.0000 0.0000 0.5000 x3
S 0.0000 0.0000 0.2482 x6
O 0.0286 0.6105 0.8924 x18

Output
Calculated volume (Å³ per atom): 15.68
ρ (g/cm3): 3.22
Uncorrected energy (eV per formula unit): -54.16

Here is crystalline RbNiSO4 at its relaxed geometry from the Alexandria database. Energies are from PBE+U.

Lattice parameters (Å, degrees): 8.079 8.079 8.079 90.00 90.00 90.00
Space group F-43m (No. 216)
Inequivalent atoms, fractional coordinates:
Rb 0.000 0.000 0.000 x4
Ni 0.250 0.250 0.750 x4
S 0.000 0.000 0.500 x4
O 0.107 0.107 0.607 x16

Output
Calculated volume (Å³ per atom): 18.83
ρ (g/cm3): 3.03
Uncorrected energy (eV per formula unit): -34.93

Here is crystalline Rb2Ni2S3O12 at its relaxed geometry from the Alexandria database. Energies are from PBE+U.

Lattice parameters (Å, degrees): 10.070 10.070 10.070 90.00 90.00 90.00
Space group P2_13 (No. 198)
Inequivalent atoms, fractional coordinates:
Rb 0.047 0.047 0.047 x4
Rb 0.185 0.315 0.685 x4
Ni 0.096 0.904 0.404 x4
Ni 0.164 0.664 0.836 x4
S 0.021 0.215 0.376 x12
O 0.002 0.554 0.762 x12
O 0.006 0.074 0.332 x12
O 0.037 0.802 0.227 x12
O 0.098 0.838 0.747 x12

Output
Calculated volume (Å³ per atom): 13.43
ρ (g/cm3): 3.75
Uncorrected energy (eV per formula unit): -108.01